A plane-wave DFT calculation with PBE was carried out for a relaxed Sn2RhS2 crystal.

Results
SG: C2/c
ΔE_f (raw): -0.222 eV/atom
magnetic moment: 0.0 Bohr magnetons per cell

Lattice parameters (Å, degrees): 4.241 4.241 12.274 95.95 95.94 92.72
Atoms (fractional coordinates):
S  0.405  0.985  0.899
Sn  0.455  0.071  0.151
Sn  0.928  0.544  0.849
S  0.845  0.765  0.601
S  0.014  0.594  0.101
Sn  0.322  0.206  0.651
Rh  0.493  0.506  0.000
Sn  0.795  0.679  0.349
S  0.236  0.156  0.399
Rh  0.757  0.244  0.500

---

A plane-wave DFT calculation with PBE was carried out for a relaxed Sn2Rh2S crystal.

Results
SG: P4/mbm
ΔE_f (raw): -0.189 eV/atom
magnetic moment: 0.0 Bohr magnetons per cell

Lattice parameters (Å, degrees): 7.226 7.226 3.482 90.00 90.00 90.00
Atoms (fractional coordinates):
S  0.000  0.000  0.000
Rh  0.854  0.646  0.000
S  0.500  0.500  0.000
Rh  0.354  0.854  0.000
Rh  0.646  0.146  0.000
Sn  0.345  0.155  0.500
Sn  0.845  0.345  0.500
Rh  0.146  0.354  0.000
Sn  0.155  0.655  0.500
Sn  0.655  0.845  0.500

---

A plane-wave DFT calculation with PBE was carried out for a relaxed SnRhS3 crystal.

Results
SG: Pm-3m
distance to the lowest polymorph of the same formula: 1311.9 meV per atom
ΔE_f (raw): 0.931 eV/atom
magnetic moment: 3.1 Bohr magnetons per cell

Lattice parameters (Å, degrees): 4.943 4.943 4.943 90.00 90.00 90.00
Atoms (fractional coordinates):
S  0.500  0.000  0.000
S  0.000  0.500  0.000
Sn  0.000  0.000  0.000
Rh  0.500  0.500  0.500
S  0.000  0.000  0.500